# Ho2TlWO8

An optimized crystal structure of Ho2TlWO8 (PBE+U, Alexandria via LeMat-Bulk).

a = 4.955 Å, b = 4.955 Å, c = 7.069 Å
α = 90.00°, β = 90.00°, γ = 92.46°
Fractional coordinates of all 12 atoms:
Ho 0.000 0.000 0.249
Ho 0.000 0.000 0.751
Tl 0.500 0.500 0.500
W 0.500 0.500 0.000
O 0.199 0.199 0.500
O 0.215 0.215 0.000
O 0.312 0.688 0.199
O 0.312 0.688 0.801
O 0.688 0.312 0.199
O 0.688 0.312 0.801
O 0.785 0.785 0.000
O 0.801 0.801 0.500

## Properties
Its density is 8.1 g/cm³. Its electronic total energy is -7.115 eV per atom. The total magnetization comes out at 1.040 Bohr magnetons per cell. As for the symmetry: No. 65.